Here is crystalline YRe2WO at its relaxed geometry from Alexandria. Energies are from PBE with a Hubbard U.

Summary:
SG: No. 123
DFT total energy: -8.465 eV per atom
DOS(E_F): 0.916 states/eV/atom
M_tot: 2.5 Bohr magnetons per cell
Mass density: 13.64 Mg/m³

Cell lengths 4.225, 4.509, 4.225 Å; angles 90.00, 90.00, 90.00 degrees
Atoms (fractional coordinates):
Re1 0.500 0.000 0.000
Re2 0.000 0.000 0.500
Y1 0.000 0.500 0.000
W1 0.500 0.500 0.500
O1 0.000 0.000 0.000